# CdGa2Si2

A geometry-optimized CdGa2Si2 structure (PBE-GGA, the Alexandria database).

a b c (Å): 4.319 4.319 10.522
angles (deg): 90.00 90.00 90.00
Space group I4/mmm (No. 139)
Symmetry-distinct sites (fractional):
1 Cd 0.000 0.000 0.000
2 Ga 0.000 0.000 0.383
3 Si 0.000 0.500 0.250

Output
E_tot in eV per cell: -32.78

***

# CdGa3Si

A geometry-optimized CdGa3Si structure (PBE-GGA, the Alexandria database).

a b c (Å): 4.875 4.875 4.875
angles (deg): 90.00 90.00 90.00
Space group Pm-3m (No. 221)
Symmetry-distinct sites (fractional):
1 Cd 0.000 0.000 0.000
2 Ga 0.000 0.500 0.500
3 Si 0.500 0.500 0.500

Output
E_tot in eV per cell: -13.73

***

# Cd2Ga2Si

A geometry-optimized Cd2Ga2Si structure (PBE-GGA, the Alexandria database).

a b c (Å): 8.357 8.357 3.008
angles (deg): 90.00 90.00 90.00
Space group P4/mbm (No. 127)
Symmetry-distinct sites (fractional):
1 Cd 0.185 0.315 0.000
2 Ga 0.116 0.616 0.500
3 Si 0.000 0.000 0.000

Output
E_tot in eV per cell: -23.30

***

# CdGa2Si2

A geometry-optimized CdGa2Si2 structure (PBE-GGA, the Alexandria database).

a b c (Å): 4.505 4.505 9.773
angles (deg): 90.00 90.00 90.00
Space group I4/mmm (No. 139)
Symmetry-distinct sites (fractional):
1 Cd 0.000 0.000 0.000
2 Ga 0.000 0.500 0.250
3 Si 0.000 0.000 0.381

Output
E_tot in eV per cell: -33.70

***

# Cd2GaSi

A geometry-optimized Cd2GaSi structure (PBE-GGA, the Alexandria database).

a b c (Å): 6.936 6.936 6.936
angles (deg): 90.00 90.00 90.00
Space group Fm-3m (No. 225)
Symmetry-distinct sites (fractional):
1 Cd 0.250 0.250 0.250
2 Ga 0.000 0.000 0.000
3 Si 0.000 0.000 0.500

Output
E_tot in eV per cell: -36.36

***

# CdGa2Si2

A geometry-optimized CdGa2Si2 structure (PBE-GGA, the Alexandria database).

a b c (Å): 8.093 8.093 2.834
angles (deg): 90.00 90.00 90.00
Space group P4/mbm (No. 127)
Symmetry-distinct sites (fractional):
1 Cd 0.000 0.000 0.000
2 Ga 0.145 0.355 0.000
3 Si 0.150 0.650 0.500

Output
E_tot in eV per cell: -32.48

***

# TiCdGaSi2

A geometry-optimized TiCdGaSi2 structure (PBE-GGA, the Alexandria database).

a b c (Å): 4.673 4.673 4.919
angles (deg): 90.00 90.00 90.00
Space group P4/mmm (No. 123)
Symmetry-distinct sites (fractional):
1 Ti 0.000 0.000 0.000
2 Cd 0.500 0.500 0.000
3 Ga 0.000 0.000 0.500
4 Si 0.000 0.500 0.500

Output
E_tot in eV per cell: -18.72

***

# CdGaSi2W

A geometry-optimized CdGaSi2W structure (PBE-GGA, the Alexandria database).

a b c (Å): 4.763 4.763 5.380
angles (deg): 90.00 90.00 90.00
Space group P4/mmm (No. 123)
Symmetry-distinct sites (fractional):
1 Cd 0.000 0.000 0.000
2 Ga 0.500 0.500 0.000
3 Si 0.000 0.500 0.500
4 W 0.000 0.000 0.500

Output
E_tot in eV per cell: -24.62

***

The evaluated raw formation energy for the records listed, in turn: 0.28, 0.34, 0.33, 0.19, 0.30, 0.31, 0.79, 0.62 eV per atom.